# GaTcN2F | the Alexandria database | GGA-PBEsol | relaxed
data_GaTcN2F
_chemical_formula_sum 'Ga1 Tc1 N2 F1'
_symmetry_space_group_name_H-M 'P 4/m m m'
_symmetry_Int_Tables_number 123
_symmetry_space_group_name_Hall '-P 4 2'
_cell_length_a 3.826
_cell_length_b 3.826
_cell_length_c 4.167
_cell_angle_alpha 90.00
_cell_angle_beta 90.00
_cell_angle_gamma 90.00
loop_
_atom_site_label
_atom_site_type_symbol
_atom_site_fract_x
_atom_site_fract_y
_atom_site_fract_z
Ga1 Ga 0.000 0.000 0.000
Tc1 Tc 0.500 0.500 0.500
N1 N 0.000 0.500 0.500
F1 F 0.500 0.500 0.000
# ΔE_f (raw): -0.156 eV per atom
# DOS(E_F): 1.9 states/eV/cell
# raw total energy: -6.873 eV/atom